# 1
DFT (PBE-GGA) results for a relaxed structure of AlFeRe2.

CIF file:
```
data_AlFeRe2
_chemical_formula_sum 'Al4 Fe4 Re8'
_cell_length_a 7.0903
_cell_length_b 7.0903
_cell_length_c 4.9027
_cell_angle_alpha 90.00
_cell_angle_beta 90.00
_cell_angle_gamma 90.00
_symmetry_space_group_name_H-M 'I -4 2 d'
_symmetry_Int_Tables_number 122
_symmetry_space_group_name_Hall 'I -4 2bw'
loop_
_atom_site_label
_atom_site_type_symbol
_atom_site_fract_x
_atom_site_fract_y
_atom_site_fract_z
Al1 Al 0.0000 0.0000 0.0000
Fe1 Fe 0.0000 0.0000 0.5000
Re1 Re 0.1948 0.2500 0.6250
```

Properties
As for the crystal system: tetragonal. Its mass density is 12.3 g cm⁻³. As for the total DFT energy (no corrections): -8.68 eV/atom. Its density of states at the Fermi level is 12.262 states/eV per cell. Its size of the total moment is 0.00 μB/f.u.

=====

# 2
DFT (PBE-GGA) results for a relaxed structure of AlFe2Re.

CIF file:
```
data_AlFe2Re
_chemical_formula_sum 'Al2 Fe4 Re2'
_cell_length_a 3.1349
_cell_length_b 4.1484
_cell_length_c 8.0378
_cell_angle_alpha 90.00
_cell_angle_beta 90.00
_cell_angle_gamma 90.00
_symmetry_space_group_name_H-M 'C m m m'
_symmetry_Int_Tables_number 65
_symmetry_space_group_name_Hall '-C 2 2'
loop_
_atom_site_label
_atom_site_type_symbol
_atom_site_fract_x
_atom_site_fract_y
_atom_site_fract_z
Al1 Al 0.0000 0.0000 0.0000
Fe1 Fe 0.0000 0.5000 0.2433
Re1 Re 0.0000 0.0000 0.5000
```

Properties
As for the crystal system: orthorhombic. Its mass density is 10.3 g cm⁻³. As for the total DFT energy (no corrections): -8.30 eV/atom. Its density of states at the Fermi level is 5.669 states/eV per cell. Its size of the total moment is 4.09 μB/f.u.

=====

# 3
DFT (PBE-GGA) results for a relaxed structure of AlFeRe2.

CIF file:
```
data_AlFeRe2
_chemical_formula_sum 'Al2 Fe2 Re4'
_cell_length_a 3.0702
_cell_length_b 4.3641
_cell_length_c 8.4621
_cell_angle_alpha 90.00
_cell_angle_beta 90.00
_cell_angle_gamma 90.00
_symmetry_space_group_name_H-M 'C m m m'
_symmetry_Int_Tables_number 65
_symmetry_space_group_name_Hall '-C 2 2'
loop_
_atom_site_label
_atom_site_type_symbol
_atom_site_fract_x
_atom_site_fract_y
_atom_site_fract_z
Al1 Al 0.0000 0.0000 0.0000
Fe1 Fe 0.0000 0.0000 0.5000
Re1 Re 0.0000 0.5000 0.2541
```

Properties
As for the crystal system: orthorhombic. Its mass density is 13.3 g cm⁻³. As for the total DFT energy (no corrections): -9.21 eV/atom. Its density of states at the Fermi level is 5.374 states/eV per cell. Its size of the total moment is 2.72 μB/f.u.

=====

# 4
DFT (PBE-GGA) results for a relaxed structure of AlFeRe2.

CIF file:
```
data_AlFeRe2
_chemical_formula_sum 'Al1 Fe1 Re2'
_cell_length_a 2.8996
_cell_length_b 2.8996
_cell_length_c 6.4045
_cell_angle_alpha 90.00
_cell_angle_beta 90.00
_cell_angle_gamma 90.00
_symmetry_space_group_name_H-M 'P 4 m m'
_symmetry_Int_Tables_number 99
loop_
_symmetry_equiv_pos_as_xyz
'x,y,z'
'-y,x,z'
'-x,-y,z'
'y,-x,z'
'-x,y,z'
'y,x,z'
'x,-y,z'
'-y,-x,z'
loop_
_atom_site_label
_atom_site_type_symbol
_atom_site_fract_x
_atom_site_fract_y
_atom_site_fract_z
Al1 Al 0.0000 0.0000 0.0000
Fe1 Fe 0.5000 0.5000 0.2204
Re1 Re 0.0000 0.0000 0.4647
Re2 Re 0.5000 0.5000 0.7340
```

Properties
As for the crystal system: tetragonal. Its mass density is 14.0 g cm⁻³. As for the total DFT energy (no corrections): -9.38 eV/atom. Its density of states at the Fermi level is 2.796 states/eV per cell. Its size of the total moment is 0.00 μB/f.u.

=====

# 5
DFT (PBE-GGA) results for a relaxed structure of AlFe2Re.

CIF file:
```
data_AlFe2Re
_chemical_formula_sum 'Al2 Fe4 Re2'
_cell_length_a 3.0909
_cell_length_b 4.0883
_cell_length_c 8.0408
_cell_angle_alpha 90.00
_cell_angle_beta 90.00
_cell_angle_gamma 90.00
_symmetry_space_group_name_H-M 'I m m m'
_symmetry_Int_Tables_number 71
_symmetry_space_group_name_Hall '-I 2 2'
loop_
_atom_site_label
_atom_site_type_symbol
_atom_site_fract_x
_atom_site_fract_y
_atom_site_fract_z
Al1 Al 0.0000 0.0000 0.0000
Fe1 Fe 0.0000 0.5000 0.2482
Re1 Re 0.0000 0.0000 0.5000
```

Properties
As for the crystal system: orthorhombic. Its mass density is 10.6 g cm⁻³. As for the total DFT energy (no corrections): -8.32 eV/atom. Its density of states at the Fermi level is 7.643 states/eV per cell. Its size of the total moment is 3.07 μB/f.u.

=====

# 6
DFT (PBE-GGA) results for a relaxed structure of AlFe2Re.

CIF file:
```
data_AlFe2Re
_chemical_formula_sum 'Al2 Fe4 Re2'
_cell_length_a 8.8215
_cell_length_b 2.7893
_cell_length_c 4.2826
_cell_angle_alpha 90.00
_cell_angle_beta 106.73
_cell_angle_gamma 90.00
_symmetry_space_group_name_H-M 'C 1 m 1'
_symmetry_Int_Tables_number 8
loop_
_symmetry_equiv_pos_as_xyz
'x,y,z'
'x,-y,z'
'x+1/2,y+1/2,z'
'x+1/2,-y+1/2,z'
loop_
_atom_site_label
_atom_site_type_symbol
_atom_site_fract_x
_atom_site_fract_y
_atom_site_fract_z
Al1 Al 0.0000 0.0000 0.0000
Fe1 Fe 0.0085 0.5000 0.5063
Fe2 Fe 0.2516 0.0000 0.8221
Re1 Re 0.2656 0.5000 0.3365
```

Properties
As for the crystal system: monoclinic. Its mass density is 10.7 g cm⁻³. As for the total DFT energy (no corrections): -8.35 eV/atom. Its density of states at the Fermi level is 6.532 states/eV per cell. Its size of the total moment is 1.97 μB/f.u.

=====

# 7
DFT (PBE-GGA) results for a relaxed structure of AlFe2Re.

CIF file:
```
data_AlFe2Re
_chemical_formula_sum 'Al3 Fe6 Re3'
_cell_length_a 2.6964
_cell_length_b 2.6964
_cell_length_c 24.9172
_cell_angle_alpha 90.00
_cell_angle_beta 90.00
_cell_angle_gamma 120.00
_symmetry_space_group_name_H-M 'R 3 m'
_symmetry_Int_Tables_number 160
_symmetry_space_group_name_Hall 'R 3 -2"'
loop_
_atom_site_label
_atom_site_type_symbol
_atom_site_fract_x
_atom_site_fract_y
_atom_site_fract_z
Al1 Al 0.0000 0.0000 0.0000
Fe1 Fe 0.0000 0.0000 0.2522
Fe2 Fe 0.0000 0.0000 0.5064
Re1 Re 0.0000 0.0000 0.7579
```

Properties
As for the crystal system: trigonal. Its mass density is 10.3 g cm⁻³. As for the total DFT energy (no corrections): -8.23 eV/atom. Its density of states at the Fermi level is 10.864 states/eV per cell. Its size of the total moment is 3.17 μB/f.u.

=====

# 8
DFT (PBE-GGA) results for a relaxed structure of AlFe2Re.

CIF file:
```
data_AlFe2Re
_chemical_formula_sum 'Al1 Fe2 Re1'
_cell_length_a 2.6636
_cell_length_b 3.7140
_cell_length_c 5.1558
_cell_angle_alpha 90.00
_cell_angle_beta 90.00
_cell_angle_gamma 90.00
_symmetry_space_group_name_H-M 'P m m m'
_symmetry_Int_Tables_number 47
loop_
_symmetry_equiv_pos_as_xyz
'x,y,z'
'-x,-y,-z'
'-x,-y,z'
'x,y,-z'
'x,-y,-z'
'-x,y,z'
'-x,y,-z'
'x,-y,z'
loop_
_atom_site_label
_atom_site_type_symbol
_atom_site_fract_x
_atom_site_fract_y
_atom_site_fract_z
Al1 Al 0.0000 0.0000 0.0000
Fe1 Fe 0.5000 0.5000 0.2490
Re1 Re 0.0000 0.0000 0.5000
```

Properties
As for the crystal system: orthorhombic. Its mass density is 10.6 g cm⁻³. As for the total DFT energy (no corrections): -8.33 eV/atom. Its density of states at the Fermi level is 3.893 states/eV per cell. Its size of the total moment is 2.83 μB/f.u.